No. 1
Material: BeGaW
Method: DFT, PBE-GGA
State: optimized geometry

Properties
Size of the total moment   0.00 Bohr magnetons per cell
E_tot   -6.39 eV/atom
V   13.69 Å³ per atom
ΔE_f   176 meV/atom

Cell and atoms, written as CIF:
```
data_BeGaW
_chemical_formula_sum 'Be4 Ga4 W4'
_space_group_name_H-M_alt 'C 1 2/m 1'
_space_group_IT_number 12
_cell_length_a 9.125
_cell_length_b 3.353
_cell_length_c 6.164
_cell_angle_alpha 90.00
_cell_angle_beta 119.43
_cell_angle_gamma 90.00
loop_
_space_group_symop_operation_xyz
'x,y,z'
'-x,-y,-z'
'-x,y,-z'
'x,-y,z'
'x+1/2,y+1/2,z'
'-x+1/2,-y+1/2,-z'
'-x+1/2,y+1/2,-z'
'x+1/2,-y+1/2,z'
loop_
_atom_site_label
_atom_site_fract_x
_atom_site_fract_y
_atom_site_fract_z
Be1 0.120 0.000 0.166
Ga1 0.108 0.500 0.410
W1 0.167 0.000 0.813
```

---

No. 2
Material: Pm4Ir2S
Method: DFT, PBE-GGA
State: optimized geometry

Properties
Size of the total moment   0.00 Bohr magnetons per cell
E_tot   -6.77 eV/atom
V   25.06 Å³ per atom

Cell and atoms, written as CIF:
```
data_Pm4Ir2S
_chemical_formula_sum 'Pm32 Ir16 S8'
_space_group_name_H-M_alt 'F d d 2'
_space_group_IT_number 43
_space_group_name_Hall 'F 2 -2d'
_cell_length_a 12.504
_cell_length_b 12.543
_cell_length_c 8.948
_cell_angle_alpha 90.00
_cell_angle_beta 90.00
_cell_angle_gamma 90.00
loop_
_atom_site_label
_atom_site_fract_x
_atom_site_fract_y
_atom_site_fract_z
Pm1 0.064 0.127 0.000
Pm2 0.124 0.185 0.602
Ir1 0.069 0.182 0.300
S1 0.000 0.000 0.673
```

---

No. 3
Material: RbLaSi2O6
Method: DFT, PBE-GGA
State: optimized geometry

Properties
Size of the total moment   0.00 Bohr magnetons per cell
E_tot   -7.51 eV/atom
V   15.09 Å³ per atom

Cell and atoms, written as CIF:
```
data_RbLaSi2O6
_chemical_formula_sum 'Rb4 La4 Si8 O24'
_space_group_name_H-M_alt 'C 1 2/c 1'
_space_group_IT_number 15
_cell_length_a 10.658
_cell_length_b 10.561
_cell_length_c 5.434
_cell_angle_alpha 90.00
_cell_angle_beta 99.36
_cell_angle_gamma 90.00
loop_
_space_group_symop_operation_xyz
'x,y,z'
'-x,-y,-z'
'-x,y,-z+1/2'
'x,-y,z+1/2'
'x+1/2,y+1/2,z'
'-x+1/2,-y+1/2,-z'
'-x+1/2,y+1/2,-z+1/2'
'x+1/2,-y+1/2,z+1/2'
loop_
_atom_site_label
_atom_site_fract_x
_atom_site_fract_y
_atom_site_fract_z
Rb1 0.000 0.167 0.250
La1 0.000 0.375 0.750
Si1 0.223 0.080 0.788
O1 0.121 0.424 0.159
O2 0.151 0.215 0.744
O3 0.174 0.008 0.032
```

---

No. 4
Material: LaMgI5
Method: DFT, PBE-GGA
State: optimized geometry

Properties
Size of the total moment   0.00 Bohr magnetons per cell
E_tot   -3.29 eV/atom
V   52.13 Å³ per atom

Cell and atoms, written as CIF:
```
data_LaMgI5
_chemical_formula_sum 'La4 Mg4 I20'
_space_group_name_H-M_alt 'C 1 c 1'
_space_group_IT_number 9
_cell_length_a 12.150
_cell_length_b 11.525
_cell_length_c 11.956
_cell_angle_alpha 90.00
_cell_angle_beta 119.33
_cell_angle_gamma 90.00
loop_
_space_group_symop_operation_xyz
'x,y,z'
'x,-y,z+1/2'
'x+1/2,y+1/2,z'
'x+1/2,-y+1/2,z+1/2'
loop_
_atom_site_label
_atom_site_fract_x
_atom_site_fract_y
_atom_site_fract_z
La1 0.000 0.250 0.000
Mg1 0.251 0.135 0.750
I1 0.076 0.018 0.537
I2 0.134 0.294 0.833
I3 0.250 0.330 0.250
I4 0.367 0.294 0.668
I5 0.427 0.018 0.964
```

---

No. 5
Material: H3RuI
Method: DFT, PBE-GGA
State: optimized geometry

Properties
Size of the total moment   1.95 Bohr magnetons per cell
E_tot   -2.46 eV/atom
V   12.42 Å³ per atom

Cell and atoms, written as CIF:
```
data_H3RuI
_chemical_formula_sum 'H3 Ru1 I1'
_space_group_name_H-M_alt 'P m -3 m'
_space_group_IT_number 221
_space_group_name_Hall '-P 4 2 3'
_cell_length_a 3.960
_cell_length_b 3.960
_cell_length_c 3.960
_cell_angle_alpha 90.00
_cell_angle_beta 90.00
_cell_angle_gamma 90.00
loop_
_atom_site_label
_atom_site_fract_x
_atom_site_fract_y
_atom_site_fract_z
H1 0.000 0.000 0.500
Ru1 0.500 0.500 0.500
I1 0.000 0.000 0.000
```

---

No. 6
Material: Mn4TeMo
Method: DFT, PBE-GGA
State: optimized geometry

Properties
Size of the total moment   25.56 Bohr magnetons per cell
E_tot   -8.12 eV/atom
V   13.68 Å³ per atom

Cell and atoms, written as CIF:
```
data_Mn4TeMo
_chemical_formula_sum 'Mn16 Te4 Mo4'
_space_group_name_H-M_alt 'F -4 3 m'
_space_group_IT_number 216
_space_group_name_Hall 'F -4 2 3'
_cell_length_a 6.898
_cell_length_b 6.898
_cell_length_c 6.898
_cell_angle_alpha 90.00
_cell_angle_beta 90.00
_cell_angle_gamma 90.00
loop_
_atom_site_label
_atom_site_fract_x
_atom_site_fract_y
_atom_site_fract_z
Mn1 0.124 0.124 0.124
Te1 0.000 0.000 0.500
Mo1 0.250 0.250 0.750
```

---

No. 7
Material: PuURe
Method: DFT, PBE-GGA
State: optimized geometry

Properties
Size of the total moment   4.59 Bohr magnetons per cell
E_tot   -12.66 eV/atom
V   18.87 Å³ per atom
ΔE_f   26 meV/atom

Cell and atoms, written as CIF:
```
data_PuURe
_chemical_formula_sum 'Pu1 U1 Re1'
_space_group_name_H-M_alt 'P 3 m 1'
_space_group_IT_number 156
_cell_length_a 4.6338
_cell_length_b 4.6338
_cell_length_c 3.0445
_cell_angle_alpha 90.00
_cell_angle_beta 90.00
_cell_angle_gamma 120.00
loop_
_space_group_symop_operation_xyz
'x,y,z'
'-y,x-y,z'
'-x+y,-x,z'
'-y,-x,z'
'-x+y,y,z'
'x,x-y,z'
loop_
_atom_site_label
_atom_site_fract_x
_atom_site_fract_y
_atom_site_fract_z
Pu1 0.0000 0.0000 0.0000
U1 0.3333 0.6667 0.7509
Re1 0.6667 0.3333 0.3948
```

---

No. 8
Material: K3Sm3SiO8
Method: DFT, PBE-GGA
State: optimized geometry

Properties
Size of the total moment   0.00 Bohr magnetons per cell
E_tot   -6.70 eV/atom
V   16.85 Å³ per atom

Cell and atoms, written as CIF:
```
data_K3Sm3SiO8
_chemical_formula_sum 'K9 Sm9 Si3 O24'
_space_group_name_H-M_alt 'R -3 m'
_space_group_IT_number 166
_space_group_name_Hall '-R 3 2"'
_cell_length_a 6.8055
_cell_length_b 6.8055
_cell_length_c 18.9066
_cell_angle_alpha 90.00
_cell_angle_beta 90.00
_cell_angle_gamma 120.00
loop_
_atom_site_label
_atom_site_fract_x
_atom_site_fract_y
_atom_site_fract_z
K1 0.0000 0.5000 0.0000
Sm1 0.0000 0.5000 0.5000
Si1 0.0000 0.0000 0.5000
O1 0.0000 0.0000 0.2301
O2 0.0595 0.5298 0.2213
```